Entry from the Alexandria database: a geometry-optimized NdY12Co6 structure (PBE-GGA).

Geometry as POSCAR:
```
NdY12Co6
1.0
-5.141 -1.283 -6.667
7.047 -4.695 -0.905
-4.018 -2.262 7.159
Y Co Nd
12 6 1
Direct
0.194 0.309 0.503
0.497 0.806 0.691
0.115 0.806 0.309
0.503 0.194 0.309
0.885 0.194 0.691
0.309 0.503 0.194
0.691 0.885 0.194
0.806 0.691 0.497
0.309 0.115 0.806
0.806 0.309 0.115
0.194 0.691 0.885
0.691 0.497 0.806
0.612 0.500 0.112
0.500 0.888 0.388
0.888 0.388 0.500
0.112 0.612 0.500
0.388 0.500 0.888
0.500 0.112 0.612
0.000 0.000 0.000
```

Properties
**Size of the total moment**: 0.00 μB per formula unit
**Symmetry**: Im-3
**Formation enthalpy at 0 K**: -0.123 eV/atom